The following is a PBE calculation of crystalline RbCdRh2 at its relaxed geometry, from the Alexandria database.

Results
- M_tot (μB per formula unit) = 0.00
- E_tot (eV/cell) = -56.34
- ΔH_f (0 K) (meV per atom) = 625

Lattice parameters (Å, degrees): 4.792 4.792 19.440 90.00 90.00 90.00
Space group I-42d (No. 122)
Symmetry-distinct sites (fractional):
Rb: 0.000 0.000 0.000 [4 per cell]
Cd: 0.000 0.000 0.500 [4 per cell]
Rh: 0.070 0.250 0.625 [8 per cell]